Record 1
# AcGaSnSb PBE optimized geometry
data_AcGaSnSb
_cell_length_a 7.7729
_cell_length_b 7.7729
_cell_length_c 7.7729
_cell_angle_alpha 90.00
_cell_angle_beta 90.00
_cell_angle_gamma 90.00
_symmetry_space_group_name_H-M 'F -4 3 m'
_symmetry_Int_Tables_number 216
_symmetry_space_group_name_Hall 'F -4 2 3'
loop_
_atom_site_label
_atom_site_type_symbol
_atom_site_fract_x
_atom_site_fract_y
_atom_site_fract_z
_atom_site_occupancy
Ac1 Ac 0.0000 0.0000 0.0000 1
Ga1 Ga 0.2500 0.2500 0.7500 1
Sn1 Sn 0.2500 0.2500 0.2500 1
Sb1 Sb 0.0000 0.0000 0.5000 1
# formation energy without anion corrections: -0.2260 eV/atom
# crystal system: cubic
# theoretical density: 7.60 g cm⁻³

***

Record 2
# SrAcGaSb PBE optimized geometry
data_SrAcGaSb
_cell_length_a 8.0039
_cell_length_b 8.0039
_cell_length_c 8.0039
_cell_angle_alpha 90.00
_cell_angle_beta 90.00
_cell_angle_gamma 90.00
_symmetry_space_group_name_H-M 'F -4 3 m'
_symmetry_Int_Tables_number 216
_symmetry_space_group_name_Hall 'F -4 2 3'
loop_
_atom_site_label
_atom_site_type_symbol
_atom_site_fract_x
_atom_site_fract_y
_atom_site_fract_z
_atom_site_occupancy
Sr1 Sr 0.0000 0.0000 0.0000 1
Ac1 Ac 0.0000 0.0000 0.5000 1
Ga1 Ga 0.2500 0.2500 0.7500 1
Sb1 Sb 0.2500 0.2500 0.2500 1
# formation energy without anion corrections: -0.5785 eV/atom
# crystal system: cubic
# theoretical density: 6.56 g cm⁻³

***

Record 3
# Ac4GaSbTe2 PBE optimized geometry
data_Ac4GaSbTe2
_cell_length_a 8.2790
_cell_length_b 4.6667
_cell_length_c 8.2842
_cell_angle_alpha 90.00
_cell_angle_beta 108.74
_cell_angle_gamma 90.00
_symmetry_space_group_name_H-M 'P 1 2/m 1'
_symmetry_Int_Tables_number 10
loop_
_symmetry_equiv_pos_as_xyz
'x,y,z'
'-x,-y,-z'
'-x,y,-z'
'x,-y,z'
loop_
_atom_site_label
_atom_site_type_symbol
_atom_site_fract_x
_atom_site_fract_y
_atom_site_fract_z
_atom_site_occupancy
Ac1 Ac 0.2336 0.0000 0.2382 1
Ac2 Ac 0.2351 0.5000 0.7534 1
Ga1 Ga 0.0000 0.5000 0.0000 1
Sb1 Sb 0.0000 0.0000 0.5000 1
Te1 Te 0.5000 0.0000 0.0000 1
Te2 Te 0.5000 0.5000 0.5000 1
# formation energy without anion corrections: -1.1827 eV/atom
# crystal system: monoclinic
# theoretical density: 7.42 g cm⁻³

***

Record 4
# AcZnGaSb PBE optimized geometry
data_AcZnGaSb
_cell_length_a 7.4825
_cell_length_b 7.4825
_cell_length_c 7.4825
_cell_angle_alpha 90.00
_cell_angle_beta 90.00
_cell_angle_gamma 90.00
_symmetry_space_group_name_H-M 'F -4 3 m'
_symmetry_Int_Tables_number 216
_symmetry_space_group_name_Hall 'F -4 2 3'
loop_
_atom_site_label
_atom_site_type_symbol
_atom_site_fract_x
_atom_site_fract_y
_atom_site_fract_z
_atom_site_occupancy
Ac1 Ac 0.0000 0.0000 0.0000 1
Zn1 Zn 0.2500 0.2500 0.2500 1
Ga1 Ga 0.2500 0.2500 0.7500 1
Sb1 Sb 0.0000 0.0000 0.5000 1
# formation energy without anion corrections: -0.2709 eV/atom
# crystal system: cubic
# theoretical density: 7.67 g cm⁻³

***

Record 5
# Ac2ScGa2 PBE optimized geometry
data_Ac2ScGa2
_cell_length_a 10.9428
_cell_length_b 6.5659
_cell_length_c 4.5929
_cell_angle_alpha 90.00
_cell_angle_beta 114.71
_cell_angle_gamma 90.00
_symmetry_space_group_name_H-M 'C 1 2/m 1'
_symmetry_Int_Tables_number 12
loop_
_symmetry_equiv_pos_as_xyz
'x,y,z'
'-x,-y,-z'
'-x,y,-z'
'x,-y,z'
'x+1/2,y+1/2,z'
'-x+1/2,-y+1/2,-z'
'-x+1/2,y+1/2,-z'
'x+1/2,-y+1/2,z'
loop_
_atom_site_label
_atom_site_type_symbol
_atom_site_fract_x
_atom_site_fract_y
_atom_site_fract_z
_atom_site_occupancy
Ac1 Ac 0.1896 0.0000 0.1894 1
Sc1 Sc 0.0000 0.5000 0.0000 1
Ga1 Ga 0.0000 0.2548 0.5000 1
# crystal system: monoclinic
# energy of formation: -405 meV per atom
# theoretical density: 7.07 g cm⁻³

***

Record 6
# AcScGa2 PBE optimized geometry
data_AcScGa2
_cell_length_a 5.1922
_cell_length_b 5.1922
_cell_length_c 3.7801
_cell_angle_alpha 90.00
_cell_angle_beta 90.00
_cell_angle_gamma 90.00
_symmetry_space_group_name_H-M 'P 4/m m m'
_symmetry_Int_Tables_number 123
_symmetry_space_group_name_Hall '-P 4 2'
loop_
_atom_site_label
_atom_site_type_symbol
_atom_site_fract_x
_atom_site_fract_y
_atom_site_fract_z
_atom_site_occupancy
Ac1 Ac 0.0000 0.0000 0.0000 1
Sc1 Sc 0.5000 0.5000 0.0000 1
Ga1 Ga 0.0000 0.5000 0.5000 1
# crystal system: tetragonal
# energy of formation: -305 meV per atom
# theoretical density: 6.70 g cm⁻³

***

Record 7
# AcSc2Ga PBE optimized geometry
data_AcSc2Ga
_cell_length_a 4.7099
_cell_length_b 4.7099
_cell_length_c 18.1217
_cell_angle_alpha 90.00
_cell_angle_beta 90.00
_cell_angle_gamma 120.00
_symmetry_space_group_name_H-M 'R -3 m'
_symmetry_Int_Tables_number 166
_symmetry_space_group_name_Hall '-R 3 2"'
loop_
_atom_site_label
_atom_site_type_symbol
_atom_site_fract_x
_atom_site_fract_y
_atom_site_fract_z
_atom_site_occupancy
Ac1 Ac 0.0000 0.0000 0.0000 1
Sc1 Sc 0.0000 0.0000 0.2090 1
Ga1 Ga 0.0000 0.0000 0.5000 1
# crystal system: trigonal
# energy of formation: -58 meV per atom
# theoretical density: 5.53 g cm⁻³

***

Record 8
# AcScGa2 PBE optimized geometry
data_AcScGa2
_cell_length_a 3.7318
_cell_length_b 3.7318
_cell_length_c 26.5245
_cell_angle_alpha 90.00
_cell_angle_beta 90.00
_cell_angle_gamma 120.00
_symmetry_space_group_name_H-M 'R -3 m'
_symmetry_Int_Tables_number 166
_symmetry_space_group_name_Hall '-R 3 2"'
loop_
_atom_site_label
_atom_site_type_symbol
_atom_site_fract_x
_atom_site_fract_y
_atom_site_fract_z
_atom_site_occupancy
Ac1 Ac 0.0000 0.0000 0.0000 1
Sc1 Sc 0.0000 0.0000 0.5000 1
Ga1 Ga 0.0000 0.0000 0.2390 1
# crystal system: trigonal
# energy of formation: -242 meV per atom
# theoretical density: 6.41 g cm⁻³

***

Record 9
# AcScGa PBE optimized geometry
data_AcScGa
_cell_length_a 4.7719
_cell_length_b 4.7719
_cell_length_c 4.4874
_cell_angle_alpha 90.00
_cell_angle_beta 90.00
_cell_angle_gamma 120.00
_symmetry_space_group_name_H-M 'P -6 m 2'
_symmetry_Int_Tables_number 187
_symmetry_space_group_name_Hall 'P -6 2'
loop_
_atom_site_label
_atom_site_type_symbol
_atom_site_fract_x
_atom_site_fract_y
_atom_site_fract_z
_atom_site_occupancy
Ac1 Ac 0.0000 0.0000 0.0000 1
Sc1 Sc 0.6667 0.3333 0.5000 1
Ga1 Ga 0.3333 0.6667 0.5000 1
# crystal system: hexagonal
# energy of formation: -283 meV per atom
# theoretical density: 6.41 g cm⁻³

***

Record 10
# Ac2Sc3Ga4 PBE optimized geometry
data_Ac2Sc3Ga4
_cell_length_a 6.6603
_cell_length_b 16.1375
_cell_length_c 8.4844
_cell_angle_alpha 90.00
_cell_angle_beta 90.00
_cell_angle_gamma 90.00
_symmetry_space_group_name_H-M 'C m c e'
_symmetry_Int_Tables_number 64
_symmetry_space_group_name_Hall '-C 2ac 2'
loop_
_atom_site_label
_atom_site_type_symbol
_atom_site_fract_x
_atom_site_fract_y
_atom_site_fract_z
_atom_site_occupancy
Ac1 Ac 0.0000 0.1124 0.0819 1
Sc1 Sc 0.0000 0.0000 0.5000 1
Sc2 Sc 0.2500 0.2134 0.7500 1
Ga1 Ga 0.0000 0.1861 0.4633 1
Ga2 Ga 0.2500 0.0415 0.7500 1
# crystal system: orthorhombic
# energy of formation: -423 meV per atom
# theoretical density: 6.32 g cm⁻³

***

Record 11
# AcSc2Ga4 PBE optimized geometry
data_AcSc2Ga4
_cell_length_a 4.1669
_cell_length_b 4.2925
_cell_length_c 17.9725
_cell_angle_alpha 90.00
_cell_angle_beta 90.00
_cell_angle_gamma 90.00
_symmetry_space_group_name_H-M 'I m m m'
_symmetry_Int_Tables_number 71
_symmetry_space_group_name_Hall '-I 2 2'
loop_
_atom_site_label
_atom_site_type_symbol
_atom_site_fract_x
_atom_site_fract_y
_atom_site_fract_z
_atom_site_occupancy
Ac1 Ac 0.0000 0.0000 0.0000 1
Sc1 Sc 0.0000 0.5000 0.3136 1
Ga1 Ga 0.0000 0.0000 0.4248 1
Ga2 Ga 0.0000 0.5000 0.1571 1
# crystal system: orthorhombic
# energy of formation: -552 meV per atom
# theoretical density: 6.16 g cm⁻³

***

Record 12
# AcSc2Ga6 PBE optimized geometry
data_AcSc2Ga6
_cell_length_a 4.3155
_cell_length_b 7.2892
_cell_length_c 12.4467
_cell_angle_alpha 90.00
_cell_angle_beta 90.00
_cell_angle_gamma 90.00
_symmetry_space_group_name_H-M 'I m m m'
_symmetry_Int_Tables_number 71
_symmetry_space_group_name_Hall '-I 2 2'
loop_
_atom_site_label
_atom_site_type_symbol
_atom_site_fract_x
_atom_site_fract_y
_atom_site_fract_z
_atom_site_occupancy
Ac1 Ac 0.0000 0.0000 0.0000 1
Sc1 Sc 0.0000 0.5000 0.1228 1
Ga1 Ga 0.0000 0.1693 0.5000 1
Ga2 Ga 0.0000 0.2950 0.3084 1
# crystal system: orthorhombic
# energy of formation: -507 meV per atom
# theoretical density: 6.24 g cm⁻³

***

Record 13
# AcScGa2 PBE optimized geometry
data_AcScGa2
_cell_length_a 8.6017
_cell_length_b 4.3157
_cell_length_c 6.2347
_cell_angle_alpha 90.00
_cell_angle_beta 112.29
_cell_angle_gamma 90.00
_symmetry_space_group_name_H-M 'C 1 2/m 1'
_symmetry_Int_Tables_number 12
loop_
_symmetry_equiv_pos_as_xyz
'x,y,z'
'-x,-y,-z'
'-x,y,-z'
'x,-y,z'
'x+1/2,y+1/2,z'
'-x+1/2,-y+1/2,-z'
'-x+1/2,y+1/2,-z'
'x+1/2,-y+1/2,z'
loop_
_atom_site_label
_atom_site_type_symbol
_atom_site_fract_x
_atom_site_fract_y
_atom_site_fract_z
_atom_site_occupancy
Ac1 Ac 0.0000 0.0000 0.0000 1
Sc1 Sc 0.0000 0.5000 0.5000 1
Ga1 Ga 0.2299 0.0000 0.6408 1
# crystal system: monoclinic
# energy of formation: -450 meV per atom
# theoretical density: 6.38 g cm⁻³